{"formula": "TbCo3C2", "functional": "PBE", "state": "optimized geometry", "dft_energy_ev_per_atom": -7.45, "vol_a3_per_atom": 11.11, "lattice_angstrom": [[3.4875, 0.0000, 0.0000], [-1.7437, 6.2301, -0.0567], [0.0000, -2.8775, 6.1602]], "species": ["Tb", "Tb", "Co", "Co", "Co", "Co", "Co", "Co", "C", "C", "C", "C"], "frac_coords": [[0.8583, 0.7166, 0.9465], [0.1417, 0.2834, 0.0535], [0.3071, 0.6143, 0.5930], [0.9453, 0.8905, 0.6137], [0.6065, 0.2130, 0.6840], [0.3935, 0.7870, 0.3160], [0.0547, 0.1095, 0.3863], [0.6929, 0.3857, 0.4070], [0.4726, 0.9452, 0.7581], [0.5274, 0.0548, 0.2419], [0.8179, 0.6358, 0.3083], [0.1821, 0.3642, 0.6917]]}

***

{"formula": "CsBiPdF6", "functional": "PBE", "state": "optimized geometry", "formation_energy_uncorrected_ev_per_fu": -18.875, "vol_a3_per_atom": 19.85, "lattice_angstrom": [[-1.0401, -5.8200, 2.7729], [2.8015, -4.6723, -2.6618], [4.0563, 0.9285, 2.7712]], "species": ["Cs", "Bi", "Pd", "F", "F", "F", "F", "F", "F"], "frac_coords": [[0.9827, 0.0001, 0.8833], [0.3122, 0.3476, 0.4384], [0.6630, 0.6974, 0.4927], [0.9327, 0.4289, 0.3246], [0.4215, 0.9626, 0.6855], [0.5954, 0.4279, 0.6478], [0.1908, 0.4318, 0.8280], [0.2011, 0.7271, 0.3653], [0.7004, 0.9766, 0.3343]]}

***

{"formula": "LaBe4Mo", "functional": "PBE", "state": "optimized geometry", "dft_energy_ev_per_atom": -4.85, "vol_a3_per_atom": 13.39, "lattice_angstrom": [[-4.7707, -0.5421, 0.6328], [-2.9902, 3.7193, -0.8247], [-2.9581, -0.0753, -3.8338]], "species": ["La", "Be", "Be", "Be", "Be", "Mo"], "frac_coords": [[0.2500, 0.2500, 0.2500], [0.6287, 0.6287, 0.1140], [0.6287, 0.1140, 0.6287], [0.6287, 0.6287, 0.6287], [0.1140, 0.6287, 0.6287], [0.0000, 0.0000, 0.0000]]}

***

{"formula": "GaCuNi4", "functional": "PBE", "state": "optimized geometry", "polymorph_energy_mev_per_atom": 101, "vol_a3_per_atom": 11.91, "lattice_angstrom": [[4.7465, 1.2309, 0.0000], [1.1263, 4.6670, 0.0000], [0.0000, 0.0000, 6.8848]], "species": ["Ga", "Ga", "Cu", "Cu", "Ni", "Ni", "Ni", "Ni", "Ni", "Ni", "Ni", "Ni"], "frac_coords": [[0.0000, 0.2500, 0.7500], [0.0000, 0.7500, 0.2500], [0.5000, 0.2500, 0.2500], [0.5000, 0.7500, 0.7500], [0.2520, 0.4976, 0.9379], [0.2520, 0.4976, 0.5621], [0.7480, 0.0024, 0.9379], [0.7480, 0.5024, 0.4379], [0.7480, 0.0024, 0.5621], [0.2520, 0.9976, 0.0621], [0.2520, 0.9976, 0.4379], [0.7480, 0.5024, 0.0621]]}

***

{"formula": "TlAg2RhF8", "functional": "PBE", "state": "optimized geometry", "formation_energy_uncorrected_ev_per_fu": -17.557, "vol_a3_per_atom": 16.56, "lattice_angstrom": [[-2.3239, -4.6956, 0.0879], [0.3061, -0.0251, -5.4883], [6.1828, -3.0533, 0.3588]], "species": ["Tl", "Ag", "Ag", "Rh", "F", "F", "F", "F", "F", "F", "F", "F"], "frac_coords": [[0.0000, 0.0000, 0.5000], [0.5000, 0.5000, 0.7628], [0.5000, 0.5000, 0.2372], [0.0000, 0.0000, 0.0000], [0.1836, 0.8410, 0.2199], [0.7393, 0.7211, 0.0000], [0.8164, 0.1590, 0.2199], [0.8164, 0.1590, 0.7801], [0.2607, 0.2789, 0.0000], [0.1836, 0.8410, 0.7801], [0.7139, 0.7056, 0.5000], [0.2861, 0.2944, 0.5000]]}

***

{"formula": "NaLi2TcN", "functional": "PBE", "state": "optimized geometry", "formation_energy_uncorrected_ev_per_fu": 0.106, "vol_a3_per_atom": 14.53, "lattice_angstrom": [[4.3169, 0.0000, 0.0000], [0.0000, 4.3169, 0.0000], [0.0000, 0.0000, 3.8988]], "species": ["Na", "Li", "Li", "Tc", "N"], "frac_coords": [[0.5000, 0.5000, 0.5000], [0.0000, 0.5000, 0.0000], [0.5000, 0.0000, 0.0000], [0.0000, 0.0000, 0.5000], [0.0000, 0.0000, 0.0000]]}

***

{"formula": "Tb2YLu", "functional": "PBE", "state": "optimized geometry", "dft_energy_ev_per_atom": -5.04, "vol_a3_per_atom": 31.27, "lattice_angstrom": [[-1.4416, -0.0642, -3.2354], [-3.2657, -1.2942, -0.4587], [-5.9708, 10.0330, 0.5219]], "species": ["Y", "Lu", "Tb", "Tb"], "frac_coords": [[0.0000, 0.0000, 0.0000], [0.5000, 0.5000, 0.5000], [0.7512, 0.7512, 0.7465], [0.2488, 0.2488, 0.2535]]}

***

{"formula": "Mg6Cd2Hg", "functional": "PBE", "state": "optimized geometry", "polymorph_energy_mev_per_atom": 40, "vol_a3_per_atom": 21.89, "lattice_angstrom": [[5.0215, 0.0000, 0.0000], [-2.5107, 4.2783, -0.5991], [0.0000, 1.4826, 8.9645]], "species": ["Mg", "Mg", "Mg", "Mg", "Mg", "Mg", "Cd", "Cd", "Hg"], "frac_coords": [[0.3336, 0.6673, 0.9399], [0.6664, 0.3327, 0.0601], [0.9989, 0.9978, 0.1758], [0.6667, 0.3334, 0.3999], [0.0011, 0.0022, 0.8242], [0.3333, 0.6666, 0.6001], [0.6678, 0.3356, 0.7390], [0.3322, 0.6644, 0.2610], [0.0000, 0.0000, 0.5000]]}

***

{"formula": "CeHfNi", "functional": "PBE", "state": "optimized geometry", "polymorph_energy_mev_per_atom": 95, "vol_a3_per_atom": 21.94, "lattice_angstrom": [[-2.6386, -2.0182, -2.2744], [3.0923, 0.0725, -3.6517], [2.9543, -5.6958, 2.3887]], "species": ["Ni", "Ni", "Hf", "Hf", "Ce", "Ce"], "frac_coords": [[0.7366, 0.7500, 0.8136], [0.2634, 0.2500, 0.1864], [0.7374, 0.2500, 0.9332], [0.2626, 0.7500, 0.0668], [0.7940, 0.2500, 0.4378], [0.2060, 0.7500, 0.5622]]}

***

{"formula": "Cs3Rb3PbI8", "functional": "PBE", "state": "optimized geometry", "formation_energy_uncorrected_ev_per_fu": -20.353, "vol_a3_per_atom": 58.18, "lattice_angstrom": [[-3.3821, -3.9511, 9.2685], [5.5641, -6.1213, -6.6728], [4.9959, 8.0452, 5.2528]], "species": ["Cs", "Cs", "Cs", "Rb", "Rb", "Rb", "Pb", "I", "I", "I", "I", "I", "I", "I", "I"], "frac_coords": [[0.0000, 0.0000, 0.0000], [0.0000, 0.5000, 0.0000], [0.5000, 0.5000, 0.0000], [0.5000, 0.0000, 0.5000], [0.5000, 0.5000, 0.5000], [0.0000, 0.5000, 0.5000], [0.0000, 0.0000, 0.5000], [0.2546, 0.5092, 0.2641], [0.7454, 0.4908, 0.7359], [0.7821, 0.5642, 0.2897], [0.2179, 0.4358, 0.7103], [0.7822, 0.0077, 0.2899], [0.2178, 0.9923, 0.7101], [0.2255, 0.0077, 0.2899], [0.7745, 0.9923, 0.7101]]}